(1)
The following is a PBE calculation of a relaxed structure of Y2CdW, from Alexandria.

Geometry as POSCAR:
```
Y2CdW
1.0
5.731 -1.573 0.000
5.731 1.573 0.000
-1.420 0.000 5.308
Y Cd W
2 1 1
Cartesian
0.000 0.000 0.000 Y
1.364 0.000 3.352 Y
8.455 0.000 0.895 Cd
4.516 0.000 2.599 W
```

Properties
* DFT formation energy: 0.3044 eV/atom

***

(2)
The following is a PBE calculation of a relaxed structure of TaCdN2O, from Alexandria.

Geometry as POSCAR:
```
TaCdN2O
1.0
4.059 0.000 0.000
0.000 4.059 0.000
0.000 0.000 3.944
Ta Cd N O
1 1 2 1
Cartesian
0.000 0.000 0.000 Ta
2.029 2.029 1.972 Cd
0.000 2.029 1.972 N
2.029 0.000 1.972 N
2.029 2.029 0.000 O
```

Properties
* total DFT energy (no corrections): -0.393 Ry/atom

***

(3)
The following is a PBE calculation of a relaxed structure of NaAg3Au, from Alexandria.

Geometry as POSCAR:
```
NaAg3Au
1.0
5.231 0.000 0.000
0.000 5.231 0.000
0.000 0.000 5.231
Na Ag Au
1 3 1
Cartesian
0.000 0.000 0.000 Na
0.000 2.615 2.615 Ag
2.615 0.000 2.615 Ag
2.615 2.615 0.000 Ag
2.615 2.615 2.615 Au
```

Properties
* offset from the most stable computed form: 252 meV per atom
* DFT formation energy: 0.3020 eV/atom

***

(4)
The following is a PBE calculation of a relaxed structure of TaNb4Ga2, from Alexandria.

Geometry as POSCAR:
```
TaNb4Ga2
1.0
-2.443 2.443 6.596
2.443 -2.443 6.596
2.443 2.443 -6.596
Ta Nb Ga
1 4 2
Cartesian
0.000 0.000 0.000 Ta
2.443 0.000 0.000 Nb
0.000 0.000 2.547 Nb
0.000 2.443 0.000 Nb
0.000 0.000 10.645 Nb
0.000 0.000 5.116 Ga
0.000 0.000 8.076 Ga
```

Properties
* DFT formation energy: 1.1559 eV/atom